Material: V2Pb2O7
Method: DFT, PBE+U
State: optimized geometry

Structure (extended XYZ):
```
44
Lattice="7.363 0.000 0.000 0.000 7.247 -0.007 0.000 4.088 13.120" Properties=species:S:1:pos:R:3 pbc="T T T"
O 4.971 3.511 4.569
O 4.541 7.969 5.987
O 0.708 5.535 8.615
Pb 0.756 2.948 8.266
O 0.860 1.322 0.566
V 4.975 6.526 12.009
O 6.503 10.012 12.547
O 2.822 3.366 7.126
O 3.656 5.474 12.469
Pb 4.919 7.570 8.601
O 2.273 1.402 4.386
O 2.137 6.287 6.151
O 0.026 3.430 5.908
Pb 4.437 10.431 11.407
O 1.408 3.446 10.946
O 2.392 7.824 8.544
O 5.818 3.004 0.401
O 1.545 8.331 12.712
V 6.070 4.482 5.449
V 1.293 6.852 7.664
V 2.388 4.809 1.104
V 4.167 3.990 8.022
O 2.973 3.491 2.055
V 6.878 1.946 1.462
Pb 2.926 0.904 1.706
O 4.390 7.844 11.058
O 6.654 5.800 4.498
O 5.226 5.048 6.961
Pb 6.607 8.387 4.847
O 3.707 5.861 0.644
O 7.337 7.904 7.204
O 7.299 8.438 10.371
Pb 6.125 5.526 2.041
O 5.955 7.889 2.167
O 5.090 9.933 8.727
Pb 2.444 3.765 4.512
O 3.745 6.394 3.811
V 3.196 7.345 5.091
O 3.618 4.941 9.302
Pb 1.238 5.809 11.072
O 1.290 5.780 1.984
O 6.073 5.555 11.129
O 0.064 2.897 2.742
V 0.485 9.389 11.651
```

Distance to the lowest polymorph of the same formula   14 meV per atom
Uncorrected energy   -6.88 eV per atom